A plane-wave DFT calculation with PBE was carried out for a relaxed Ac2PrSm4Dy crystal.

```
Ac2PrSm4Dy
1.0
-8.3120 -4.9355 1.9546
-0.5590 -3.2373 -9.2993
5.5790 -2.8698 3.4104
Pr Ac Sm Dy
2 4 8 2
Direct
0.0000 0.5000 0.0000
0.0000 0.5000 0.5000
0.5000 0.0000 0.0000
0.0000 0.0000 0.5000
0.5000 0.5000 0.0000
0.5000 0.0000 0.5000
0.7719 0.2512 0.0090
0.7591 0.7420 0.5164
0.7580 0.7409 0.9836
0.2420 0.2591 0.0164
0.2488 0.7281 0.4910
0.2281 0.7488 0.9910
0.7512 0.2719 0.5090
0.2409 0.2580 0.4836
0.0000 0.0000 0.0000
0.5000 0.5000 0.5000
```

Symmetry = C2/c, No. 15
Final energy = -4.162 eV per atom